Tm3HfIn3Se8: relaxed, PBE.

**Fermi-level density of states**: 0.06 states/eV/f.u.
**Formation energy from raw total energies**: -1306 meV per atom
**Electronic total energy**: -79.0 eV per cell

a = 9.0797 Å, b = 9.0797 Å, c = 9.0797 Å
α = 52.57°, β = 52.57°, γ = 52.57°
Last column: nearest neighbours and their distance in Å.
Positions (direct):
Tm (0.0000, 0.5000, 0.5000)  6 Se 2.82-2.84
Tm (0.5000, 0.0000, 0.5000)  6 Se 2.82-2.84
Tm (0.5000, 0.5000, 0.0000)  6 Se 2.82-2.84
Hf (0.0000, 0.0000, 0.0000)  6 Se 2.72
In (0.0000, 0.0000, 0.5000)  6 Se 3.26
In (0.0000, 0.5000, 0.0000)  6 Se 3.26
In (0.5000, 0.0000, 0.0000)  6 Se 3.26
Se (0.2265, 0.2265, 0.7479)  1 Hf 2.72, 2 Tm 2.84
Se (0.2265, 0.7479, 0.2265)  1 Hf 2.72, 2 Tm 2.84
Se (0.2521, 0.7735, 0.7735)  1 Hf 2.72, 2 Tm 2.84
Se (0.2647, 0.2647, 0.2647)  3 Tm 2.82
Se (0.7353, 0.7353, 0.7353)  3 Tm 2.82
Se (0.7479, 0.2265, 0.2265)  1 Hf 2.72, 2 Tm 2.84
Se (0.7735, 0.2521, 0.7735)  1 Hf 2.72, 2 Tm 2.84
Se (0.7735, 0.7735, 0.2521)  1 Hf 2.72, 2 Tm 2.84

***

HfV2InSe: relaxed, PBE.

**Fermi-level density of states**: 4.73 states/eV/f.u.
**Formation energy from raw total energies**: 1382 meV per atom
**Electronic total energy**: -27.5 eV per cell

a = 4.7945 Å, b = 4.7945 Å, c = 5.4635 Å
α = 90.00°, β = 90.00°, γ = 90.00°
Last column: nearest neighbours and their distance in Å.
Positions (direct):
Hf (0.0000, 0.0000, 0.0000)  4 V 2.40
V (0.0000, 0.5000, 0.0000)  2 Hf 2.40
V (0.5000, 0.0000, 0.0000)  2 Hf 2.40
In (0.0000, 0.0000, 0.5000)  2 Hf 2.73
Se (0.5000, 0.5000, 0.5000)  4 In 3.39, 8 V 3.63

***

HfV2InSe: relaxed, PBE.

**Fermi-level density of states**: 9.63 states/eV/f.u.
**Formation energy from raw total energies**: 1054 meV per atom
**Electronic total energy**: -29.1 eV per cell

a = 5.0579 Å, b = 5.0579 Å, c = 5.0016 Å
α = 90.00°, β = 90.00°, γ = 90.00°
Last column: nearest neighbours and their distance in Å.
Positions (direct):
Hf (0.0000, 0.0000, 0.0000)  2 Se 2.50, 4 V 2.53
V (0.0000, 0.5000, 0.0000)  2 Hf 2.53
V (0.5000, 0.0000, 0.0000)  2 Hf 2.53
In (0.5000, 0.5000, 0.5000)  8 V 3.56, 4 Se 3.58
Se (0.0000, 0.0000, 0.5000)  2 Hf 2.50

***

Y3HfIn3Se8: relaxed, PBE.

**Fermi-level density of states**: 0.11 states/eV/f.u.
**Formation energy from raw total energies**: -1319 meV per atom
**Electronic total energy**: -85.2 eV per cell

a = 9.0831 Å, b = 9.0831 Å, c = 9.0831 Å
α = 53.24°, β = 53.24°, γ = 53.24°
Last column: nearest neighbours and their distance in Å.
Positions (direct):
Y (0.0000, 0.5000, 0.5000)  6 Se 2.86-2.88
Y (0.5000, 0.0000, 0.5000)  6 Se 2.86-2.88
Y (0.5000, 0.5000, 0.0000)  6 Se 2.86-2.88
Hf (0.0000, 0.0000, 0.0000)  6 Se 2.72
In (0.0000, 0.0000, 0.5000)  6 Se 3.25
In (0.0000, 0.5000, 0.0000)  6 Se 3.25
In (0.5000, 0.0000, 0.0000)  6 Se 3.25
Se (0.2250, 0.2250, 0.7525)  1 Hf 2.72, 2 Y 2.88
Se (0.2250, 0.7525, 0.2250)  1 Hf 2.72, 2 Y 2.88
Se (0.2475, 0.7750, 0.7750)  1 Hf 2.72, 2 Y 2.88
Se (0.2633, 0.2633, 0.2633)  3 Y 2.86
Se (0.7367, 0.7367, 0.7367)  3 Y 2.86
Se (0.7525, 0.2250, 0.2250)  1 Hf 2.72, 2 Y 2.88
Se (0.7750, 0.2475, 0.7750)  1 Hf 2.72, 2 Y 2.88
Se (0.7750, 0.7750, 0.2475)  1 Hf 2.72, 2 Y 2.88

***

HfZrIn2Se: relaxed, PBE.

**Fermi-level density of states**: 3.83 states/eV/f.u.
**Formation energy from raw total energies**: 542 meV per atom
**Electronic total energy**: -24.8 eV per cell

a = 5.2810 Å, b = 5.2810 Å, c = 4.8902 Å
α = 90.00°, β = 90.00°, γ = 90.00°
Last column: nearest neighbours and their distance in Å.
Positions (direct):
Hf (0.0000, 0.0000, 0.0000)  2 Se 2.45
Zr (0.5000, 0.5000, 0.0000)  8 In 3.60, 4 Hf 3.73
In (0.0000, 0.5000, 0.5000)  2 Se 2.64
In (0.5000, 0.0000, 0.5000)  2 Se 2.64
Se (0.0000, 0.0000, 0.5000)  2 Hf 2.45, 4 In 2.64

***

HfIn2Si2: relaxed, PBE.

**Fermi-level density of states**: 2.49 states/eV/f.u.
**Formation energy from raw total energies**: 64 meV per atom
**Electronic total energy**: -51.9 eV per cell

a = 7.0113 Å, b = 7.0113 Å, c = 4.1061 Å
α = 90.00°, β = 90.00°, γ = 90.00°
Last column: nearest neighbours and their distance in Å.
Positions (direct):
Hf (0.0000, 0.0000, 0.0000)  4 Si 2.78
Hf (0.5000, 0.5000, 0.0000)  4 Si 2.78
In (0.1819, 0.3181, 0.5000)  6 Si 2.82-3.00
In (0.3181, 0.8181, 0.5000)  6 Si 2.82-3.00
In (0.6819, 0.1819, 0.5000)  6 Si 2.82-3.00
In (0.8181, 0.6819, 0.5000)  6 Si 2.82-3.00
Si (0.1236, 0.6236, 0.0000)  1 Si 2.45
Si (0.3764, 0.1236, 0.0000)  1 Si 2.45
Si (0.6236, 0.8764, 0.0000)  1 Si 2.45
Si (0.8764, 0.3764, 0.0000)  1 Si 2.45

***

HfIn2Si: relaxed, PBE.

**Fermi-level density of states**: 2.38 states/eV/f.u.
**Formation energy from raw total energies**: 229 meV per atom
**Electronic total energy**: -39.9 eV per cell

a = 6.2802 Å, b = 6.2802 Å, c = 6.2802 Å
α = 101.64°, β = 101.64°, γ = 126.62°
Last column: nearest neighbours and their distance in Å.
Positions (direct):
Hf (0.0000, 0.0000, 0.0000)  2 Si 2.82, 4 In 3.08
Hf (0.7500, 0.2500, 0.5000)  2 Si 2.82, 4 In 3.08
In (0.1591, 0.6250, 0.0341)  2 Si 2.71, 2 In 2.87
In (0.3750, 0.4091, 0.5341)  2 Si 2.71, 2 In 2.87
In (0.5909, 0.1250, 0.9659)  2 Si 2.71, 2 In 2.87
In (0.8750, 0.8409, 0.4659)  2 Si 2.71, 2 In 2.87
Si (0.2500, 0.7500, 0.5000)  4 In 2.71, 2 Hf 2.82
Si (0.5000, 0.5000, 0.0000)  4 In 2.71, 2 Hf 2.82

***

Hf2InSi: relaxed, PBE.

**Fermi-level density of states**: 2.07 states/eV/f.u.
**Formation energy from raw total energies**: -286 meV per atom
**Electronic total energy**: -29.2 eV per cell

a = 7.9252 Å, b = 7.9252 Å, c = 7.9252 Å
α = 26.39°, β = 26.39°, γ = 26.39°
Last column: nearest neighbours and their distance in Å.
Positions (direct):
Hf (0.2340, 0.2340, 0.2340)  3 Si 2.60
Hf (0.7660, 0.7660, 0.7660)  3 Si 2.60
In (0.0000, 0.0000, 0.0000)  6 Hf 3.09
Si (0.5000, 0.5000, 0.5000)  6 Hf 2.60

***

Hf2InSi: relaxed, PBE.

**Fermi-level density of states**: 2.27 states/eV/f.u.
**Formation energy from raw total energies**: -40 meV per atom
**Electronic total energy**: -56.5 eV per cell

a = 6.1174 Å, b = 6.1174 Å, c = 6.1174 Å
α = 103.69°, β = 103.69°, γ = 121.77°
Last column: nearest neighbours and their distance in Å.
Positions (direct):
Hf (0.1020, 0.6250, 0.9770)  2 Si 2.66, 2 In 2.90
Hf (0.3750, 0.3520, 0.4770)  2 Si 2.66, 2 In 2.90
Hf (0.6480, 0.1250, 0.0230)  2 Si 2.66, 2 In 2.90
Hf (0.8750, 0.8980, 0.5230)  2 Si 2.66, 2 In 2.90
In (0.2500, 0.7500, 0.5000)  4 Hf 2.90, 2 Si 2.98
In (0.5000, 0.5000, 0.0000)  4 Hf 2.90, 2 Si 2.98
Si (0.0000, 0.0000, 0.0000)  4 Hf 2.66, 2 In 2.98
Si (0.7500, 0.2500, 0.5000)  4 Hf 2.66, 2 In 2.98

***

HfIn2Si2: relaxed, PBE.

**Fermi-level density of states**: 2.99 states/eV/f.u.
**Formation energy from raw total energies**: 325 meV per atom
**Electronic total energy**: -24.7 eV per cell

a = 7.6432 Å, b = 7.6432 Å, c = 7.6432 Å
α = 150.38°, β = 150.38°, γ = 42.38°
Last column: nearest neighbours and their distance in Å.
Positions (direct):
Hf (0.0000, 0.0000, 0.0000)  8 Si 3.00
In (0.2500, 0.7500, 0.5000)  4 In 2.76
In (0.7500, 0.2500, 0.5000)  4 In 2.76
Si (0.4185, 0.4185, 0.0000)  1 Si 2.32
Si (0.5815, 0.5815, 0.0000)  1 Si 2.32

***

HfIn3Si: relaxed, PBE.

**Fermi-level density of states**: 6.65 states/eV/f.u.
**Formation energy from raw total energies**: 810 meV per atom
**Electronic total energy**: -19.5 eV per cell

a = 5.1179 Å, b = 5.1179 Å, c = 5.1179 Å
α = 90.00°, β = 90.00°, γ = 90.00°
Last column: nearest neighbours and their distance in Å.
Positions (direct):
Hf (0.0000, 0.0000, 0.0000)  12 In 3.62
In (0.0000, 0.5000, 0.5000)  2 Si 2.56
In (0.5000, 0.0000, 0.5000)  2 Si 2.56
In (0.5000, 0.5000, 0.0000)  2 Si 2.56
Si (0.5000, 0.5000, 0.5000)  6 In 2.56

***

HfInSi3: relaxed, PBE.

**Fermi-level density of states**: 4.33 states/eV/f.u.
**Formation energy from raw total energies**: 1407 meV per atom
**Electronic total energy**: -21.9 eV per cell

a = 4.9525 Å, b = 4.9525 Å, c = 4.9525 Å
α = 90.00°, β = 90.00°, γ = 90.00°
Last column: nearest neighbours and their distance in Å.
Positions (direct):
Hf (0.0000, 0.0000, 0.0000)  12 Si 3.50
In (0.5000, 0.5000, 0.5000)  6 Si 2.48
Si (0.0000, 0.5000, 0.5000)  2 In 2.48
Si (0.5000, 0.0000, 0.5000)  2 In 2.48
Si (0.5000, 0.5000, 0.0000)  2 In 2.48

***

HfInSi2: relaxed, PBE.

**Fermi-level density of states**: 2.63 states/eV/f.u.
**Formation energy from raw total energies**: 269 meV per atom
**Electronic total energy**: -44.9 eV per cell

a = 6.0082 Å, b = 6.0082 Å, c = 6.0082 Å
α = 104.07°, β = 104.07°, γ = 120.91°
Last column: nearest neighbours and their distance in Å.
Positions (direct):
Hf (0.0000, 0.0000, 0.0000)  4 Si 2.72, 2 In 2.96
Hf (0.7500, 0.2500, 0.5000)  4 Si 2.72, 2 In 2.96
In (0.2500, 0.7500, 0.5000)  4 Si 2.72, 2 Hf 2.96
In (0.5000, 0.5000, 0.0000)  4 Si 2.72, 2 Hf 2.96
Si (0.1250, 0.6250, 0.0000)  2 Hf 2.72, 2 In 2.72, 2 Si 2.96
Si (0.3750, 0.3750, 0.5000)  2 Hf 2.72, 2 In 2.72, 2 Si 2.96
Si (0.6250, 0.1250, 0.0000)  2 Hf 2.72, 2 In 2.72, 2 Si 2.96
Si (0.8750, 0.8750, 0.5000)  2 Hf 2.72, 2 In 2.72, 2 Si 2.96

***

HfInSi3: relaxed, PBE.

**Fermi-level density of states**: 1.63 states/eV/f.u.
**Formation energy from raw total energies**: 624 meV per atom
**Electronic total energy**: -25.8 eV per cell

a = 5.0964 Å, b = 5.0964 Å, c = 5.0964 Å
α = 90.00°, β = 90.00°, γ = 90.00°
Last column: nearest neighbours and their distance in Å.
Positions (direct):
Hf (0.0000, 0.0000, 0.0000)  6 Si 2.55
In (0.5000, 0.5000, 0.5000)  12 Si 3.60
Si (0.0000, 0.0000, 0.5000)  2 Hf 2.55
Si (0.0000, 0.5000, 0.0000)  2 Hf 2.55
Si (0.5000, 0.0000, 0.0000)  2 Hf 2.55

***

Hf2InSi2: relaxed, PBE.

**Fermi-level density of states**: 2.78 states/eV/f.u.
**Formation energy from raw total energies**: -317 meV per atom
**Electronic total energy**: -35.1 eV per cell

a = 8.4487 Å, b = 8.4487 Å, c = 8.4487 Å
α = 156.30°, β = 156.30°, γ = 33.77°
Last column: nearest neighbours and their distance in Å.
Positions (direct):
Hf (0.1179, 0.1179, 0.0000)  4 Si 2.75
Hf (0.8821, 0.8821, 0.0000)  4 Si 2.75
In (0.5000, 0.5000, 0.0000)  8 Hf 3.11, 4 In 3.47
Si (0.2500, 0.7500, 0.5000)  4 Si 2.45
Si (0.7500, 0.2500, 0.5000)  4 Si 2.45

***

HfIn3Si: relaxed, PBE.

**Fermi-level density of states**: 7.34 states/eV/f.u.
**Formation energy from raw total energies**: 1023 meV per atom
**Electronic total energy**: -18.5 eV per cell

a = 5.5291 Å, b = 5.5291 Å, c = 5.5291 Å
α = 90.00°, β = 90.00°, γ = 90.00°
Last column: nearest neighbours and their distance in Å.
Positions (direct):
Hf (0.0000, 0.0000, 0.0000)  6 In 2.76
In (0.0000, 0.0000, 0.5000)  2 Hf 2.76
In (0.0000, 0.5000, 0.0000)  2 Hf 2.76
In (0.5000, 0.0000, 0.0000)  2 Hf 2.76
Si (0.5000, 0.5000, 0.5000)  12 In 3.91

***

Hf2InSi: relaxed, PBE.

**Fermi-level density of states**: 4.83 states/eV/f.u.
**Formation energy from raw total energies**: -40 meV per atom
**Electronic total energy**: -28.2 eV per cell

a = 4.8204 Å, b = 4.8204 Å, c = 4.8204 Å
α = 60.00°, β = 60.00°, γ = 60.00°
Last column: nearest neighbours and their distance in Å.
Positions (direct):
Hf (0.2500, 0.2500, 0.2500)  4 In 2.95, 4 Si 2.95
Hf (0.7500, 0.7500, 0.7500)  4 Si 2.95, 4 In 2.95
In (0.0000, 0.0000, 0.0000)  8 Hf 2.95
Si (0.5000, 0.5000, 0.5000)  8 Hf 2.95

***

Hf2TiInSi: relaxed, PBE.

**Fermi-level density of states**: 4.71 states/eV/f.u.
**Formation energy from raw total energies**: 1298 meV per atom
**Electronic total energy**: -29.5 eV per cell

a = 5.1797 Å, b = 5.1797 Å, c = 4.9048 Å
α = 90.00°, β = 90.00°, γ = 90.00°
Last column: nearest neighbours and their distance in Å.
Positions (direct):
Hf (0.0000, 0.5000, 0.0000)  2 In 2.59
Hf (0.5000, 0.0000, 0.0000)  2 In 2.59
Ti (0.0000, 0.0000, 0.5000)  2 In 2.45
In (0.0000, 0.0000, 0.0000)  2 Ti 2.45, 4 Hf 2.59
Si (0.5000, 0.5000, 0.5000)  8 Hf 3.57, 4 Ti 3.66

***

SmHf2In: relaxed, PBE.

**Fermi-level density of states**: 2.60 states/eV/f.u.
**Electronic total energy**: -27.6 eV per cell

a = 4.5837 Å, b = 4.5837 Å, c = 4.5765 Å
α = 90.00°, β = 90.00°, γ = 90.00°
Last column: nearest neighbours and their distance in Å.
Positions (direct):
Sm (0.0000, 0.0000, 0.0000)  8 Hf 3.24, 4 In 3.24
Hf (0.0000, 0.5000, 0.5000)  4 In 3.24, 4 Sm 3.24, 4 Hf 3.24
Hf (0.5000, 0.0000, 0.5000)  4 In 3.24, 4 Sm 3.24, 4 Hf 3.24
In (0.5000, 0.5000, 0.0000)  8 Hf 3.24, 4 Sm 3.24

***

SmHfIn: relaxed, PBE.

**Fermi-level density of states**: 3.53 states/eV/f.u.
**Electronic total energy**: -33.4 eV per cell

a = 8.2704 Å, b = 8.2704 Å, c = 8.2704 Å
α = 35.18°, β = 35.18°, γ = 35.18°
Last column: nearest neighbours and their distance in Å.
Positions (direct):
Sm (0.2300, 0.2300, 0.2300)  3 Hf 3.24, 4 In 3.24-3.33
Sm (0.7700, 0.7700, 0.7700)  3 Hf 3.24, 4 In 3.24-3.33
Hf (0.0000, 0.0000, 0.0000)  6 In 3.03
Hf (0.5000, 0.5000, 0.5000)  2 In 2.95, 6 Sm 3.24
In (0.3731, 0.3731, 0.3731)  4 Hf 2.95-3.03, 3 Sm 3.24
In (0.6269, 0.6269, 0.6269)  4 Hf 2.95-3.03, 3 Sm 3.24